Entry 1:
This record from Alexandria via LeMat-Bulk describes Na3VS3O12 after structural relaxation. The functional is GGA-PBEsol.

Values from the calculation:
Spin magnetization   2.000 μB/f.u.
Space-group type   R-3, No. 148
Formation energy without anion corrections   -1759 meV per atom

```
Na3VS3O12
1.0
6.700 3.868 3.045
-6.700 3.868 3.045
0.000 -7.736 3.045
Na V S O
6 2 6 24
Cartesian
-3.541 0.914 3.129 Na
0.979 -3.524 3.129 Na
-2.562 -2.610 6.005 Na
2.562 2.610 3.129 Na
-0.979 3.524 6.005 Na
3.541 -0.914 6.005 Na
0.000 0.000 0.000 V
0.000 0.000 4.567 V
-1.404 -1.887 2.193 S
-0.932 2.159 2.193 S
2.336 -0.273 2.193 S
-2.336 0.273 6.941 S
0.932 -2.159 6.941 S
1.404 1.887 6.941 S
-0.446 -1.577 1.070 O
-5.158 -0.518 3.913 O
-4.048 -2.715 4.047 O
-1.143 1.175 1.070 O
-2.130 -4.726 5.221 O
1.589 0.402 1.070 O
-0.695 -1.542 3.482 O
-4.375 2.148 5.087 O
-0.988 1.373 3.482 O
0.327 -4.863 5.087 O
3.027 -4.208 3.913 O
-1.683 -0.169 5.652 O
1.683 0.169 3.482 O
-3.027 4.208 5.221 O
-0.327 4.863 4.047 O
0.988 -1.373 5.652 O
4.375 -2.148 4.047 O
0.695 1.542 5.652 O
-1.589 -0.402 8.064 O
2.130 4.726 3.913 O
1.143 -1.175 8.064 O
4.048 2.715 5.087 O
5.158 0.518 5.221 O
0.446 1.577 8.064 O
```

***

Entry 2:
This record from Alexandria via LeMat-Bulk describes Li2ScSi after structural relaxation. The functional is GGA-PBEsol.

Values from the calculation:
Spin magnetization   0.264 μB/f.u.
Space-group type   Pmm2, No. 25
Formation energy without anion corrections   -170 meV per atom

```
Li2ScSi
1.0
2.887 0.000 0.000
0.000 3.948 0.000
0.000 0.000 6.187
Li Sc Si
2 1 1
Cartesian
0.000 0.000 0.000 Li
1.444 1.974 1.409 Li
0.000 0.000 3.415 Sc
1.444 1.974 4.737 Si
```